Density functional theory data (PBE) for BaNbPCl2 after structural relaxation.

As for the space group: No. 123. As for the uncorrected formation energy: -102 kJ/mol of atoms. The calculation puts the magnetization at 1.145 μB per cell. For the density, the calculation gives 4.358 g cm⁻³.

Lattice parameters (Å, degrees): 5.045 5.045 4.972 90.00 90.00 90.00
Sites, in units of the cell vectors:
P (0.000, 0.000, 0.500)
Nb (0.000, 0.000, 0.000)
Ba (0.500, 0.500, 0.500)
Cl (0.000, 0.500, 0.000)
Cl (0.500, 0.000, 0.000)